Below is crystalline La2RuPt2 at its relaxed geometry, with properties calculated at the PBE level.

```
data_La2RuPt2
_chemical_formula_sum 'La4 Ru2 Pt4'
_space_group_name_H-M_alt 'P 4/m b m'
_space_group_IT_number 127
_space_group_name_Hall '-P 4 2ab'
_cell_length_a 7.374
_cell_length_b 7.374
_cell_length_c 4.191
_cell_angle_alpha 90.00
_cell_angle_beta 90.00
_cell_angle_gamma 90.00
loop_
_atom_site_label
_atom_site_type_symbol
_atom_site_fract_x
_atom_site_fract_y
_atom_site_fract_z
La1 La 0.179 0.321 0.000
Ru1 Ru 0.000 0.000 0.500
Pt1 Pt 0.133 0.633 0.500
```

Its crystal system is tetragonal. Its magnetic moment is 0.01 μB/f.u. Its total energy is -6.87 eV per atom. The value obtained for the formation enthalpy at 0 K is -0.626 eV/atom. As for the density of states at the Fermi level: 6.6 states/eV per cell. The offset from the most stable computed form is 0 meV per atom.